Model one:
Here is crystalline Li6Mg3Cd at its relaxed geometry from Alexandria. Energies are from PBE-GGA.

Geometry as extended XYZ:
```
10
Lattice="0.000 5.041 5.041 5.041 0.000 5.041 5.041 5.041 0.000" Properties=species:S:1:pos:R:3 pbc="T T T"
Li 5.041 5.041 2.492
Li 5.041 2.492 5.041
Li 7.591 5.041 5.041
Li 2.492 5.041 5.041
Li 5.041 7.591 5.041
Li 5.041 5.041 7.591
Mg 2.521 2.521 2.521
Mg 5.041 5.041 5.041
Mg 7.562 7.562 7.562
Cd 0.000 0.000 0.000
```

Model two:
Here is crystalline Li6Mg3Cd at its relaxed geometry from Alexandria. Energies are from PBE-GGA.

Geometry as extended XYZ:
```
20
Lattice="8.163 0.000 0.000 0.000 4.865 0.000 -3.180 0.000 9.845" Properties=species:S:1:pos:R:3 pbc="T T T"
Li -0.938 1.216 3.937
Li 0.536 3.649 1.823
Li -1.059 1.216 6.915
Li -1.258 1.216 9.809
Li 0.272 3.649 7.829
Li 1.678 1.216 5.973
Li 3.305 3.649 3.872
Li 4.712 1.216 2.016
Li 6.241 3.649 0.036
Li 6.042 3.649 2.930
Li 4.447 1.216 8.022
Li 5.921 3.649 5.908
Mg 0.540 3.649 4.827
Mg 1.846 1.216 2.955
Mg 3.324 3.649 0.913
Mg 1.659 1.216 8.932
Mg 3.137 3.649 6.890
Mg 4.443 1.216 5.018
Cd -2.428 3.649 8.790
Cd 7.411 1.216 1.055
```

Which structure is most stable? model two, by 0.388 eV/atom over the runner-up.

Model one:
Here is crystalline LiMgCd6 at its relaxed geometry from Alexandria. Energies are from PBE-GGA.

Geometry as extended XYZ:
```
8
Lattice="4.334 0.000 0.000 0.000 4.334 0.000 0.000 0.000 9.107" Properties=species:S:1:pos:R:3 pbc="T T T"
Li 0.000 0.000 0.000
Mg 0.000 0.000 4.553
Cd 0.000 2.167 2.218
Cd 0.000 2.167 6.889
Cd 2.167 0.000 2.218
Cd 2.167 0.000 6.889
Cd 2.167 2.167 0.000
Cd 2.167 2.167 4.553
```

Model two:
Here is crystalline LiMgCd6 at its relaxed geometry from Alexandria. Energies are from PBE-GGA.

Geometry as extended XYZ:
```
8
Lattice="6.207 0.000 0.000 -3.103 5.375 0.000 0.000 0.000 5.071" Properties=species:S:1:pos:R:3 pbc="T T T"
Li 0.000 0.000 0.000
Mg 0.000 3.584 2.536
Cd 1.525 0.880 2.536
Cd 3.103 0.005 0.000
Cd 1.556 2.685 0.000
Cd 4.682 0.880 2.536
Cd 3.103 3.615 2.536
Cd 4.651 2.685 0.000
```

Which structure is most stable? model two, by 0.035 eV/atom over the runner-up.

Model one:
Here is crystalline Li6Mg2Cd3 at its relaxed geometry from Alexandria. Energies are from PBE-GGA.

Geometry as extended XYZ:
```
11
Lattice="-1.941 1.941 14.828 1.941 -1.941 14.828 1.941 1.941 -14.828" Properties=species:S:1:pos:R:3 pbc="T T T"
Li 1.941 0.000 3.787
Li 0.000 0.000 5.962
Li 1.941 0.000 11.040
Li 0.000 1.941 3.787
Li 0.000 0.000 23.694
Li 0.000 1.941 11.040
Mg 0.000 0.000 1.505
Mg 0.000 0.000 28.150
Cd 0.000 0.000 8.692
Cd 0.000 0.000 14.828
Cd 0.000 0.000 20.964
```

Model two:
Here is crystalline Li6Mg2Cd3 at its relaxed geometry from Alexandria. Energies are from PBE-GGA.

Geometry as extended XYZ:
```
11
Lattice="4.401 -8.387 0.000 4.401 8.387 0.000 0.000 0.000 3.047" Properties=species:S:1:pos:R:3 pbc="T T T"
Li 4.401 6.850 0.000
Li 2.668 2.716 0.000
Li 2.668 -2.716 0.000
Li 6.135 2.716 0.000
Li 6.135 -2.716 0.000
Li 4.401 -6.850 0.000
Mg 1.900 0.000 1.524
Mg 6.902 0.000 1.524
Cd 4.401 4.555 1.524
Cd 4.401 0.000 0.000
Cd 4.401 -4.555 1.524
```

Which structure is most stable? model two, by 0.067 eV/atom over the runner-up.